Entry from Alexandria via LeMat-Bulk: a relaxed P2OsNO crystal (PBE).

The formation energy (no corrections) is 1126 meV/atom. As for the crystal system: tetragonal. The value obtained for the energy above the most stable polymorph in this dataset is 0.011 eV/atom. As for the density of states at the Fermi level: 0.48 states/eV/atom. The value obtained for the total energy is -5.941 eV per atom.

Unit cell a=4.6343 b=4.6343 c=3.6461 alpha=90.00 beta=90.00 gamma=90.00
Last column: nearest neighbours and their distance in Å.
Sites, in units of the cell vectors:
P  0.0000  0.5000  0.0000  2 Os 2.32
P  0.5000  0.0000  0.0000  2 Os 2.32
Os  0.0000  0.0000  0.0000  2 O 1.82
N  0.5000  0.5000  0.5000  8 P 2.95, 4 O 3.28
O  0.0000  0.0000  0.5000  2 Os 1.82

=====

Entry from Alexandria via LeMat-Bulk: a relaxed POsN2O crystal (PBE).

The formation energy (no corrections) is 1015 meV/atom. As for the crystal system: tetragonal. As for the density of states at the Fermi level: 0.68 states/eV/atom. The value obtained for the total energy is -6.634 eV per atom.

Unit cell a=3.6971 b=3.6971 c=3.2637 alpha=90.00 beta=90.00 gamma=90.00
Last column: nearest neighbours and their distance in Å.
Sites, in units of the cell vectors:
P  0.0000  0.0000  0.0000  2 O 1.63
Os  0.5000  0.5000  0.5000  8 N 2.47, 4 O 2.61
N  0.0000  0.5000  0.0000  2 P 1.85
N  0.5000  0.0000  0.0000  2 P 1.85
O  0.0000  0.0000  0.5000  2 P 1.63

=====

Entry from Alexandria via LeMat-Bulk: a relaxed OsPbNO2 crystal (PBE).

The formation energy (no corrections) is -347 meV/atom. As for the crystal system: tetragonal. As for the density of states at the Fermi level: 0.51 states/eV/atom. The value obtained for the total energy is -6.983 eV per atom.

Unit cell a=4.1058 b=4.1058 c=3.8527 alpha=90.00 beta=90.00 gamma=90.00
Last column: nearest neighbours and their distance in Å.
Sites, in units of the cell vectors:
Os  0.0000  0.0000  0.0000  2 N 1.93, 4 O 2.05
Pb  0.5000  0.5000  0.5000  8 O 2.82, 4 N 2.90
N  0.0000  0.0000  0.5000  2 Os 1.93
O  0.0000  0.5000  0.0000  2 Os 2.05
O  0.5000  0.0000  0.0000  2 Os 2.05

=====

Entry from Alexandria via LeMat-Bulk: a relaxed OsPbNO2 crystal (PBE).

The formation energy (no corrections) is 1555 meV/atom. As for the crystal system: tetragonal. As for the density of states at the Fermi level: 0.49 states/eV/atom. The value obtained for the total energy is -5.081 eV per atom.

Unit cell a=4.1677 b=4.1677 c=4.4302 alpha=90.00 beta=90.00 gamma=90.00
Last column: nearest neighbours and their distance in Å.
Sites, in units of the cell vectors:
Os  0.0000  0.0000  0.0000  4 N 2.95, 8 O 3.04
Pb  0.5000  0.5000  0.5000  4 O 2.08, 2 N 2.22
N  0.5000  0.5000  0.0000  2 Pb 2.22
O  0.0000  0.5000  0.5000  2 Pb 2.08
O  0.5000  0.0000  0.5000  2 Pb 2.08

=====

Entry from Alexandria via LeMat-Bulk: a relaxed OsPdNO2 crystal (PBE).

The formation energy (no corrections) is 198 meV/atom. As for the crystal system: tetragonal. As for the density of states at the Fermi level: 0.73 states/eV/atom. The value obtained for the total energy is -6.735 eV per atom.

Unit cell a=3.8518 b=3.8518 c=3.9080 alpha=90.00 beta=90.00 gamma=90.00
Last column: nearest neighbours and their distance in Å.
Sites, in units of the cell vectors:
Os  0.0000  0.0000  0.0000  4 O 1.93, 2 N 1.95
Pd  0.5000  0.5000  0.5000  4 N 2.72, 8 O 2.74
N  0.0000  0.0000  0.5000  2 Os 1.95
O  0.0000  0.5000  0.0000  2 Os 1.93
O  0.5000  0.0000  0.0000  2 Os 1.93

=====

Entry from Alexandria via LeMat-Bulk: a relaxed OsPdNO2 crystal (PBE).

The formation energy (no corrections) is 1511 meV/atom. As for the crystal system: tetragonal. As for the density of states at the Fermi level: 0.79 states/eV/atom. The value obtained for the total energy is -5.422 eV per atom.

Unit cell a=3.9611 b=3.9611 c=3.9183 alpha=90.00 beta=90.00 gamma=90.00
Last column: nearest neighbours and their distance in Å.
Sites, in units of the cell vectors:
Os  0.0000  0.0000  0.0000  8 O 2.79, 4 N 2.80
Pd  0.5000  0.5000  0.5000  2 N 1.96, 4 O 1.98
N  0.5000  0.5000  0.0000  2 Pd 1.96
O  0.0000  0.5000  0.5000  2 Pd 1.98
O  0.5000  0.0000  0.5000  2 Pd 1.98